Record 1
! LiB4Rh6 PBE-GGA relaxed; values from VASP
&SYSTEM
  ibrav = 0, nat = 11, ntyp = 3
/
ATOMIC_SPECIES
Rh 102.91 Rh.upf
B 10.81 B.upf
Li 6.94 Li.upf
CELL_PARAMETERS angstrom
5.267 0.032 -1.931
-0.696 5.221 -1.931
-0.985 -1.131 5.346
ATOMIC_POSITIONS angstrom
Rh 1.793 -0.049 1.859
Rh 3.936 1.436 2.475
Rh 3.680 4.229 -1.054
Rh -0.296 1.769 1.859
Rh 2.064 2.372 0.255
Rh 0.878 4.097 2.475
B 3.369 1.980 -1.475
B 1.927 2.214 2.387
B 0.446 0.513 3.474
B 1.495 3.610 -1.475
Li 4.510 5.183 -3.807
! raw total energy	-6.836	eV/atom
! E_form	-224	meV per atom
! symmetry	No. 8


Record 2
! CuAsCl2 PBE-GGA relaxed; values from VASP
&SYSTEM
  ibrav = 0, nat = 4, ntyp = 3
/
ATOMIC_SPECIES
Cl 35.45 Cl.upf
As 74.92 As.upf
Cu 63.55 Cu.upf
CELL_PARAMETERS angstrom
3.206 0.000 0.000
0.000 6.469 0.000
0.000 0.000 4.059
ATOMIC_POSITIONS angstrom
Cl 0.000 0.000 0.000
Cl 1.603 3.235 0.000
As 0.000 3.235 2.030
Cu 1.603 0.000 2.030
! formation energy (no corrections)	0.217	eV/atom
! raw total energy	-2.893	eV/atom
! symmetry	No. 47


Record 3
! TbPr2Sm6Mg PBE-GGA relaxed; values from VASP
&SYSTEM
  ibrav = 0, nat = 20, ntyp = 4
/
ATOMIC_SPECIES
Tb 158.93 Tb.upf
Mg 24.30 Mg.upf
Sm 150.36 Sm.upf
Pr 140.91 Pr.upf
CELL_PARAMETERS angstrom
9.261 -2.237 -2.321
0.789 8.527 -1.873
0.789 -2.187 8.452
ATOMIC_POSITIONS angstrom
Tb 7.734 -3.708 6.561
Tb 3.104 7.812 -2.302
Mg 7.734 2.519 0.560
Mg 3.104 1.585 3.698
Sm 4.200 2.771 0.693
Sm 3.974 6.851 1.032
Sm 9.668 4.823 -1.720
Sm 5.037 -0.779 5.916
Sm 2.234 4.444 -1.465
Sm 6.864 -2.747 3.226
Sm 6.638 1.333 3.566
Sm 1.171 -0.719 5.978
Sm 8.605 -0.341 5.724
Sm 5.801 4.883 -1.658
Sm 8.831 -0.529 1.634
Sm 2.008 4.632 2.624
Pr 0.853 1.969 1.042
Pr 9.985 2.134 3.217
Pr 5.354 4.254 3.412
Pr 5.484 -0.150 0.846
! raw total energy	-4.299	eV/atom
! E_form	111	meV per atom
! symmetry	No. 15


Record 4
! Sr2PuBi3Rh4 PBE-GGA relaxed; values from VASP
&SYSTEM
  ibrav = 0, nat = 10, ntyp = 4
/
ATOMIC_SPECIES
Rh 102.91 Rh.upf
Bi 208.98 Bi.upf
Pu 244.00 Pu.upf
Sr 87.62 Sr.upf
CELL_PARAMETERS angstrom
4.641 0.000 0.000
0.000 4.641 0.000
0.000 0.000 11.433
ATOMIC_POSITIONS angstrom
Rh 0.000 2.320 4.171
Rh 0.000 0.000 0.000
Rh 2.320 2.320 0.000
Rh 2.320 0.000 7.262
Bi 2.320 0.000 9.963
Bi 0.000 2.320 1.469
Bi 0.000 0.000 5.716
Pu 2.320 2.320 5.716
Sr 2.320 0.000 2.666
Sr 0.000 2.320 8.766
! raw total energy	-6.329	eV/atom
! E_form	-455	meV per atom
! symmetry	No. 115


Record 5
! HoTlRh2 PBE-GGA relaxed; values from VASP
&SYSTEM
  ibrav = 0, nat = 4, ntyp = 3
/
ATOMIC_SPECIES
Ho 164.93 Ho.upf
Rh 102.91 Rh.upf
Tl 204.38 Tl.upf
CELL_PARAMETERS angstrom
4.719 0.000 0.000
2.359 4.087 0.000
2.359 1.362 3.853
ATOMIC_POSITIONS angstrom
Ho 4.719 2.724 1.927
Rh 7.078 4.087 2.890
Rh 2.359 1.362 0.963
Tl 0.000 0.000 0.000
! raw total energy	-5.975	eV/atom
! E_form	-564	meV per atom
! symmetry	No. 225


Record 6
! MnFeHg2 PBE-GGA relaxed; values from VASP
&SYSTEM
  ibrav = 0, nat = 4, ntyp = 3
/
ATOMIC_SPECIES
Hg 200.59 Hg.upf
Mn 54.94 Mn.upf
Fe 55.84 Fe.upf
CELL_PARAMETERS angstrom
-1.143 4.026 -3.347
-0.482 1.672 -5.069
-4.658 -0.337 -1.327
ATOMIC_POSITIONS angstrom
Hg -1.822 5.589 -8.343
Hg -4.541 4.101 -7.350
Mn -3.228 2.804 -5.073
Fe -1.457 1.246 -2.264
! raw total energy	-4.148	eV/atom
! E_form	411	meV per atom
! symmetry	No. 8


Record 7
! Na2Mg3Bi2 PBE-GGA relaxed; values from VASP
&SYSTEM
  ibrav = 0, nat = 7, ntyp = 3
/
ATOMIC_SPECIES
Na 22.99 Na.upf
Bi 208.98 Bi.upf
Mg 24.30 Mg.upf
CELL_PARAMETERS angstrom
4.605 0.000 0.000
-2.303 5.812 -0.063
0.000 -2.750 7.617
ATOMIC_POSITIONS angstrom
Na 2.303 3.624 1.622
Na 0.000 -0.562 5.933
Bi 2.303 1.850 5.908
Bi 0.000 1.212 1.646
Mg 2.303 0.000 0.000
Mg 0.000 2.953 4.177
Mg 2.303 0.109 3.377
! raw total energy	-2.359	eV/atom
! E_form	-190	meV per atom
! symmetry	No. 12


Record 8
! Tl2PtBr8 PBE-GGA relaxed; values from VASP
&SYSTEM
  ibrav = 0, nat = 11, ntyp = 3
/
ATOMIC_SPECIES
Tl 204.38 Tl.upf
Br 79.90 Br.upf
Pt 195.08 Pt.upf
CELL_PARAMETERS angstrom
9.232 0.215 -2.238
-1.010 6.397 -3.549
-0.006 0.188 8.024
ATOMIC_POSITIONS angstrom
Tl 5.479 5.136 0.017
Tl 2.738 1.664 2.220
Br 5.104 1.467 1.191
Br 0.402 5.642 -1.700
Br 6.057 4.008 -2.182
Br 7.814 1.158 3.937
Br 0.938 2.251 0.181
Br 2.160 2.792 4.419
Br 7.279 4.549 2.056
Br 3.112 5.334 1.045
Pt 0.000 0.000 0.000
! formation energy (no corrections)	-0.394	eV/atom
! raw total energy	-2.590	eV/atom
! symmetry	No. 12


Record 9
! Ac2GaSnPt6 PBE-GGA relaxed; values from VASP
&SYSTEM
  ibrav = 0, nat = 10, ntyp = 4
/
ATOMIC_SPECIES
Pt 195.08 Pt.upf
Sn 118.71 Sn.upf
Ac 227.00 Ac.upf
Ga 69.72 Ga.upf
CELL_PARAMETERS angstrom
-2.662 6.368 -1.175
-6.459 -1.344 1.867
-1.626 2.647 4.667
ATOMIC_POSITIONS angstrom
Pt -6.318 7.463 3.661
Pt -4.430 0.209 1.697
Pt -8.495 6.488 5.159
Pt -3.076 2.521 2.565
Pt -7.672 5.151 2.793
Pt -2.252 1.184 0.200
Sn -4.561 2.512 0.346
Ac -4.092 5.710 2.064
Ac -6.655 1.962 3.295
Ga 0.000 0.000 0.000
! raw total energy	-6.008	eV/atom
! E_form	-859	meV per atom
! symmetry	No. 2


Record 10
! Sr4PbSe PBE-GGA relaxed; values from VASP
&SYSTEM
  ibrav = 0, nat = 6, ntyp = 3
/
ATOMIC_SPECIES
Pb 207.20 Pb.upf
Sr 87.62 Sr.upf
Se 78.96 Se.upf
CELL_PARAMETERS angstrom
-6.850 -0.626 0.810
-4.290 4.249 -3.392
-3.893 -2.428 -5.188
ATOMIC_POSITIONS angstrom
Pb -11.274 0.896 -5.827
Sr -7.782 2.569 -4.608
Sr -7.583 -0.763 -5.504
Sr -9.059 0.136 -2.512
Sr -5.641 0.449 -2.916
Se 0.000 0.000 0.000
! formation energy (no corrections)	0.061	eV/atom
! raw total energy	-2.259	eV/atom
! symmetry	No. 216


Record 11
! Lu2MgCr PBE-GGA relaxed; values from VASP
&SYSTEM
  ibrav = 0, nat = 4, ntyp = 3
/
ATOMIC_SPECIES
Lu 174.97 Lu.upf
Cr 52.00 Cr.upf
Mg 24.30 Mg.upf
CELL_PARAMETERS angstrom
-2.154 -2.985 3.509
2.726 -3.659 2.246
1.328 0.455 4.888
ATOMIC_POSITIONS angstrom
Lu 1.425 -4.641 7.982
Lu 0.475 -1.547 2.661
Cr 0.000 0.000 0.000
Mg 0.950 -3.094 5.321
! raw total energy	-4.927	eV/atom
! E_form	138	meV per atom
! symmetry	No. 225


Record 12
! Dy5Bi4H3 PBE-GGA relaxed; values from VASP
&SYSTEM
  ibrav = 0, nat = 12, ntyp = 3
/
ATOMIC_SPECIES
H 1.01 H.upf
Dy 162.50 Dy.upf
Bi 208.98 Bi.upf
CELL_PARAMETERS angstrom
3.920 0.000 0.000
1.960 9.290 1.709
1.960 5.286 9.646
ATOMIC_POSITIONS angstrom
H 3.920 6.329 3.875
H 3.920 8.247 7.481
H 1.960 7.288 5.678
Dy 3.920 9.003 9.334
Dy 3.920 1.861 2.240
Dy 3.920 7.288 5.678
Dy 3.920 5.573 2.022
Dy 3.920 12.715 9.116
Bi 5.880 6.436 8.569
Bi 1.960 8.140 2.786
Bi 3.920 3.934 4.790
Bi 3.920 10.642 6.565
! raw total energy	-4.244	eV/atom
! symmetry	No. 12


Record 13
! Zr3TiH6 PBE-GGA relaxed; values from VASP
&SYSTEM
  ibrav = 0, nat = 20, ntyp = 3
/
ATOMIC_SPECIES
Zr 91.22 Zr.upf
Ti 47.87 Ti.upf
H 1.01 H.upf
CELL_PARAMETERS angstrom
-4.285 3.795 1.360
-3.996 -3.741 -2.157
-0.525 -2.495 5.302
ATOMIC_POSITIONS angstrom
Zr -7.501 -0.263 2.320
Zr -3.119 -0.987 -0.717
Zr -1.304 -2.177 2.185
Zr -6.448 -3.725 2.504
Zr -5.686 -1.453 5.222
Zr -2.357 1.285 2.002
Ti -4.403 -1.220 2.253
Ti 0.000 0.000 0.000
H -6.141 -1.801 1.753
H -7.095 0.778 0.509
H -3.948 2.502 2.720
H -5.701 -0.400 3.371
H -1.711 -3.218 3.996
H -3.756 0.040 0.986
H -3.104 -2.040 1.135
H -4.755 -2.170 -1.387
H -5.049 -2.480 3.519
H -4.857 -4.942 1.785
H -2.664 -0.639 2.753
H -4.050 -0.270 5.893
! raw total energy	-5.807	eV/atom
! symmetry	No. 148